The following is a PBE calculation of a geometry-optimized Sm4InAu structure, from Alexandria.

## Properties
Crystal system: monoclinic
Space group: No. 11
Magnetization, μB per formula unit: 0.00
E_form, eV/atom: -0.421

Unit cell a=5.4964 b=7.0933 c=9.0357 alpha=90.00 beta=97.46 gamma=90.00
Last column: nearest neighbours and their distance in Å.
Fractional positions:
Sm: 0.1788 0.2500 0.0557  2 Au 2.89-2.98
Sm: 0.2155 0.7500 0.3801  1 Au 3.06, 2 In 3.26-3.33
Sm: 0.3095 0.5165 0.7331  2 Au 3.15-3.37, 3 Sm 3.31-3.49, 2 In 3.41-3.43
Sm: 0.3095 0.9835 0.7331  2 Au 3.15-3.37, 3 Sm 3.31-3.49, 2 In 3.41-3.43
Sm: 0.6905 0.0165 0.2669  2 Au 3.15-3.37, 3 Sm 3.31-3.49, 2 In 3.41-3.43
Sm: 0.6905 0.4835 0.2669  2 Au 3.15-3.37, 3 Sm 3.31-3.49, 2 In 3.41-3.43
Sm: 0.7845 0.2500 0.6199  1 Au 3.06, 2 In 3.26-3.33
Sm: 0.8212 0.7500 0.9443  2 Au 2.89-2.98
In: 0.2341 0.2500 0.4168  11 Sm 3.24-3.56
In: 0.7659 0.7500 0.5832  11 Sm 3.24-3.56
Au: 0.3368 0.7500 0.0594  5 Sm 2.89-3.15
Au: 0.6632 0.2500 0.9406  5 Sm 2.89-3.15

The following is a PBE calculation of a geometry-optimized LiSmPuRu structure, from Alexandria.

## Properties
Crystal system: cubic
Space group: No. 216
Magnetization, μB per formula unit: 5.54
E_form, eV/atom: -0.040

Unit cell a=4.9400 b=4.9400 c=4.9400 alpha=60.00 beta=60.00 gamma=60.00
Last column: nearest neighbours and their distance in Å.
Fractional positions:
Li: 0.0000 0.0000 0.0000  4 Sm 3.03, 4 Pu 3.03
Sm: 0.7500 0.7500 0.7500  4 Ru 3.03, 4 Li 3.03
Pu: 0.2500 0.2500 0.2500  4 Ru 3.03, 4 Li 3.03
Ru: 0.5000 0.5000 0.5000  4 Sm 3.03, 4 Pu 3.03

The following is a PBE calculation of a geometry-optimized HfNbV2 structure, from Alexandria.

## Properties
Crystal system: cubic
Offset from the most stable computed form, meV per atom: 33
Space group: No. 225
Magnetization, μB per formula unit: 2.78
E_form, eV/atom: 0.123

Unit cell a=4.5787 b=4.5787 c=4.5787 alpha=60.00 beta=60.00 gamma=60.00
Last column: nearest neighbours and their distance in Å.
Fractional positions:
Hf: 0.0000 0.0000 0.0000  8 V 2.80
Nb: 0.5000 0.5000 0.5000  8 V 2.80
V: 0.2500 0.2500 0.2500  4 Nb 2.80, 4 Hf 2.80
V: 0.7500 0.7500 0.7500  4 Nb 2.80, 4 Hf 2.80

The following is a PBE calculation of a geometry-optimized CsMg14B structure, from Alexandria.

## Properties
Crystal system: hexagonal
Offset from the most stable computed form, meV per atom: 55
Space group: No. 187
Magnetization, μB per formula unit: 0.00
E_form, eV/atom: 0.357

Unit cell a=6.5386 b=6.5386 c=10.4431 alpha=90.00 beta=90.00 gamma=120.00
Last column: nearest neighbours and their distance in Å.
Fractional positions:
Cs: 0.0000 0.0000 0.0000  12 Mg 3.27-3.56
Mg: 0.0096 0.5048 0.0000  6 Mg 3.18-3.36, 2 Cs 3.27
Mg: 0.1592 0.3183 0.2943  1 B 2.80, 4 Mg 2.94-3.12
Mg: 0.1592 0.3183 0.7057  1 B 2.80, 4 Mg 2.94-3.12
Mg: 0.1592 0.8408 0.2943  1 B 2.80, 4 Mg 2.94-3.12
Mg: 0.1592 0.8408 0.7057  1 B 2.80, 4 Mg 2.94-3.12
Mg: 0.4952 0.5048 0.0000  6 Mg 3.18-3.36, 2 Cs 3.27
Mg: 0.4952 0.9904 0.0000  6 Mg 3.18-3.36, 2 Cs 3.27
Mg: 0.5125 0.0250 0.5000  8 Mg 2.94-3.20, 2 B 3.27
Mg: 0.5125 0.4875 0.5000  8 Mg 2.94-3.20, 2 B 3.27
Mg: 0.6667 0.3333 0.2435  12 Mg 3.20-3.31
Mg: 0.6667 0.3333 0.7565  12 Mg 3.20-3.31
Mg: 0.6817 0.8408 0.2943  1 B 2.80, 4 Mg 2.94-3.12
Mg: 0.6817 0.8408 0.7057  1 B 2.80, 4 Mg 2.94-3.12
Mg: 0.9750 0.4875 0.5000  8 Mg 2.94-3.20, 2 B 3.27
B: 0.0000 0.0000 0.5000  6 Mg 2.80

The following is a PBE calculation of a geometry-optimized Pm2Dy5YHo structure, from Alexandria.

## Properties
Crystal system: tetragonal
Space group: No. 140
Magnetization, μB per formula unit: 0.00
E_form, eV/atom: 0.274

Unit cell a=9.9443 b=9.9443 c=9.9443 alpha=128.68 beta=128.68 gamma=75.52
Last column: nearest neighbours and their distance in Å.
Fractional positions:
Pm: 0.1179 0.6179 0.7357  1 Pm 2.87, 2 Dy 3.02
Pm: 0.3821 0.1179 0.5000  1 Pm 2.87, 2 Dy 3.02
Pm: 0.6179 0.8821 0.5000  1 Pm 2.87, 2 Dy 3.02
Pm: 0.8821 0.3821 0.2643  1 Pm 2.87, 2 Dy 3.02
Dy: 0.0000 0.0000 0.0000  4 Pm 3.44, 8 Dy 3.78
Dy: 0.0721 0.1484 0.5000  1 Pm 3.02, 1 Ho 3.11
Dy: 0.1484 0.6484 0.0763  1 Pm 3.02, 1 Ho 3.11
Dy: 0.3516 0.4279 0.5000  1 Pm 3.02, 1 Ho 3.11
Dy: 0.4279 0.9279 0.0763  1 Pm 3.02, 1 Ho 3.11
Dy: 0.5000 0.5000 0.0000  4 Pm 3.44, 8 Dy 3.78
Dy: 0.5721 0.0721 0.9237  1 Pm 3.02, 1 Ho 3.11
Dy: 0.6484 0.5721 0.5000  1 Pm 3.02, 1 Ho 3.11
Dy: 0.8516 0.3516 0.9237  1 Pm 3.02, 1 Ho 3.11
Dy: 0.9279 0.8516 0.5000  1 Pm 3.02, 1 Ho 3.11
Y: 0.2500 0.2500 0.0000  10 Dy 3.53-3.93
Y: 0.7500 0.7500 0.0000  10 Dy 3.53-3.93
Ho: 0.2500 0.7500 0.5000  4 Dy 3.11
Ho: 0.7500 0.2500 0.5000  4 Dy 3.11

The following is a PBE calculation of a geometry-optimized PuBi5Pd6 structure, from Alexandria.

## Properties
Crystal system: monoclinic
Space group: No. 12
Magnetization, μB per formula unit: 5.31
E_form, eV/atom: -0.251

Unit cell a=7.2772 b=7.2772 c=7.2388 alpha=100.19 beta=100.19 gamma=128.29
Last column: nearest neighbours and their distance in Å.
Fractional positions:
Pu: 0.0000 0.0000 0.0000  6 Pd 2.89-3.20
Bi: 0.1312 0.8688 0.5000  6 Pd 2.88-2.94
Bi: 0.3077 0.6923 0.0000  6 Pd 2.80-2.93
Bi: 0.5000 0.5000 0.5000  6 Pd 2.76-2.88
Bi: 0.6923 0.3077 0.0000  6 Pd 2.80-2.93
Bi: 0.8688 0.1312 0.5000  6 Pd 2.88-2.94
Pd: 0.1205 0.4731 0.2968  5 Bi 2.76-2.94, 1 Pd 3.02
Pd: 0.3200 0.3200 0.8072  1 Pd 2.80, 5 Bi 2.88-2.89, 1 Pu 2.89
Pd: 0.4731 0.1205 0.2968  5 Bi 2.76-2.94, 1 Pd 3.02
Pd: 0.5269 0.8795 0.7032  5 Bi 2.76-2.94, 1 Pd 3.02
Pd: 0.6800 0.6800 0.1928  1 Pd 2.80, 5 Bi 2.88-2.89, 1 Pu 2.89
Pd: 0.8795 0.5269 0.7032  5 Bi 2.76-2.94, 1 Pd 3.02